Here is crystalline Ho2Er2Mg7 at its relaxed geometry from the Alexandria database. Energies are from PBE-GGA.

Values from the calculation:
Final energy (eV/atom): -2.609
Symmetry: No. 44
Formation energy from the elements (meV per atom): 68
Total magnetization (μB/atom): 0.000

a = 5.257 Å, b = 7.781 Å, c = 8.616 Å
α = 116.84°, β = 107.76°, γ = 90.00°
Sites, in units of the cell vectors:
Ho (0.282, 0.919, 0.564)
Ho (0.718, 0.355, 0.436)
Er (0.000, 0.616, 0.000)
Er (0.500, 0.300, 0.000)
Mg (0.118, 0.075, 0.236)
Mg (0.144, 0.470, 0.288)
Mg (0.500, 0.887, 0.000)
Mg (0.346, 0.452, 0.691)
Mg (0.654, 0.761, 0.309)
Mg (0.882, 0.838, 0.764)
Mg (0.856, 0.182, 0.712)

---

Here is crystalline Tc2AsAu at its relaxed geometry from the Alexandria database. Energies are from PBE-GGA.

Values from the calculation:
Final energy (eV/atom): -6.908
Symmetry: No. 8
Formation energy from the elements (meV per atom): 257
Total magnetization (μB/atom): 0.000

a = 4.800 Å, b = 4.800 Å, c = 4.825 Å
α = 85.60°, β = 85.60°, γ = 36.01°
Sites, in units of the cell vectors:
As (0.486, 0.486, 0.550)
Au (0.266, 0.266, 0.237)
Tc (0.008, 0.008, 0.955)
Tc (0.740, 0.740, 0.757)

---

Here is crystalline NbCrN2 at its relaxed geometry from the Alexandria database. Energies are from PBE-GGA.

Values from the calculation:
Final energy (eV/atom): -9.631
Symmetry: No. 160
Raw formation energy (eV/atom): -0.54
Total magnetization (μB/atom): 0.090

a = 2.844 Å, b = 2.844 Å, c = 5.744 Å
α = 75.66°, β = 75.66°, γ = 60.00°
Sites, in units of the cell vectors:
Nb (0.667, 0.667, 0.000)
Cr (0.500, 0.500, 0.500)
N (0.093, 0.093, 0.723)
N (0.241, 0.241, 0.278)

---

Here is crystalline Sn2Pd3Au3 at its relaxed geometry from the Alexandria database. Energies are from PBE-GGA.

Values from the calculation:
Final energy (eV/atom): -4.375
Symmetry: No. 12
Formation energy from the elements (meV per atom): -198
Total magnetization (μB/atom): 0.000

a = 5.069 Å, b = 5.121 Å, c = 6.742 Å
α = 112.88°, β = 112.08°, γ = 90.00°
Sites, in units of the cell vectors:
Sn (0.245, 0.245, 0.489)
Sn (0.755, 0.755, 0.511)
Pd (0.127, 0.630, 0.254)
Pd (0.873, 0.370, 0.746)
Pd (0.000, 0.000, 0.000)
Au (0.622, 0.123, 0.244)
Au (0.500, 0.500, 0.000)
Au (0.378, 0.877, 0.756)

---

Here is crystalline Zr2ScZn at its relaxed geometry from the Alexandria database. Energies are from PBE-GGA.

Values from the calculation:
Final energy (eV/atom): -6.212
Symmetry: No. 160
Formation energy from the elements (meV per atom): -36
Total magnetization (μB/atom): 0.001

a = 9.785 Å, b = 9.785 Å, c = 9.785 Å
α = 19.12°, β = 19.12°, γ = 19.12°
Sites, in units of the cell vectors:
Sc (0.493, 0.493, 0.493)
Zn (0.750, 0.750, 0.750)
Zr (0.005, 0.005, 0.005)
Zr (0.252, 0.252, 0.252)

---

Here is crystalline Tl2Hg2Rh at its relaxed geometry from the Alexandria database. Energies are from PBE-GGA.

Values from the calculation:
Final energy (eV/atom): -2.263
Symmetry: No. 127
Formation energy from the elements (meV per atom): 275
Energy above the most stable polymorph in this dataset (eV/atom): 0.271
Total magnetization (μB/atom): 0.000

a = 7.128 Å, b = 7.128 Å, c = 5.172 Å
α = 90.00°, β = 90.00°, γ = 90.00°
Sites, in units of the cell vectors:
Tl (0.179, 0.679, 0.500)
Tl (0.679, 0.821, 0.500)
Tl (0.821, 0.321, 0.500)
Tl (0.321, 0.179, 0.500)
Rh (0.000, 0.000, 0.000)
Rh (0.500, 0.500, 0.000)
Hg (0.350, 0.850, 0.000)
Hg (0.850, 0.650, 0.000)
Hg (0.650, 0.150, 0.000)
Hg (0.150, 0.350, 0.000)

---

Here is crystalline Sm12Y7Ho at its relaxed geometry from the Alexandria database. Energies are from PBE-GGA.

Values from the calculation:
Final energy (eV/atom): -5.027
Symmetry: No. 148
Formation energy from the elements (meV per atom): 296
Energy above the most stable polymorph in this dataset (eV/atom): 0.012
Total magnetization (μB/atom): 0.000

a = 6.777 Å, b = 11.077 Å, c = 11.077 Å
α = 64.05°, β = 78.23°, γ = 101.77°
Sites, in units of the cell vectors:
Sm (0.727, 0.476, 0.063)
Sm (0.210, 0.937, 0.539)
Sm (0.279, 0.213, 0.211)
Sm (0.510, 0.789, 0.424)
Sm (0.749, 0.539, 0.524)
Sm (0.934, 0.424, 0.787)
Sm (0.066, 0.576, 0.213)
Sm (0.251, 0.461, 0.476)
Sm (0.490, 0.211, 0.576)
Sm (0.721, 0.787, 0.789)
Sm (0.790, 0.063, 0.461)
Sm (0.273, 0.524, 0.937)
Y (0.780, 0.160, 0.143)
Y (0.077, 0.857, 0.303)
Y (0.380, 0.303, 0.840)
Y (0.500, 0.000, 0.000)
Y (0.620, 0.697, 0.160)
Y (0.923, 0.143, 0.697)
Y (0.220, 0.840, 0.857)
Ho (0.000, 0.000, 0.000)

---

Here is crystalline YMn2Te at its relaxed geometry from the Alexandria database. Energies are from PBE-GGA.

Values from the calculation:
Final energy (eV/atom): -6.913
Symmetry: No. 12
Raw formation energy (eV/atom): 0.07
Total magnetization (μB/atom): 1.717

a = 5.283 Å, b = 5.283 Å, c = 4.877 Å
α = 74.68°, β = 74.68°, γ = 40.27°
Sites, in units of the cell vectors:
Mn (0.991, 0.991, 0.022)
Mn (0.509, 0.509, 0.478)
Te (0.250, 0.250, 0.250)
Y (0.750, 0.750, 0.750)

---

Here is crystalline HfPbNO2 at its relaxed geometry from the Alexandria database. Energies are from PBE-GGA.

Values from the calculation:
Final energy (eV/atom): -6.193
Symmetry: No. 123
Raw formation energy (eV/atom): 0.19
Total magnetization (μB/atom): 0.109

a = 4.243 Å, b = 4.243 Å, c = 4.368 Å
α = 90.00°, β = 90.00°, γ = 90.00°
Sites, in units of the cell vectors:
Pb (0.000, 0.000, 0.000)
Hf (0.500, 0.500, 0.500)
O (0.000, 0.500, 0.000)
O (0.500, 0.000, 0.000)
N (0.000, 0.000, 0.500)

---

Here is crystalline AcMgGePd3 at its relaxed geometry from the Alexandria database. Energies are from PBE-GGA.

Values from the calculation:
Final energy (eV/atom): -4.845
Symmetry: No. 63
Formation energy from the elements (meV per atom): -529
Total magnetization (μB/atom): 0.000

a = 6.155 Å, b = 5.809 Å, c = 8.431 Å
α = 110.15°, β = 90.00°, γ = 90.00°
Sites, in units of the cell vectors:
Ac (0.750, 0.292, 0.584)
Ac (0.250, 0.708, 0.416)
Mg (0.250, 0.402, 0.804)
Mg (0.750, 0.598, 0.196)
Ge (0.250, 0.081, 0.162)
Ge (0.750, 0.919, 0.838)
Pd (0.250, 0.238, 0.475)
Pd (0.000, 0.252, 0.000)
Pd (0.500, 0.748, 0.000)
Pd (0.500, 0.252, 0.000)
Pd (0.000, 0.748, 0.000)
Pd (0.750, 0.762, 0.525)

---

Here is crystalline BaZrBr2 at its relaxed geometry from the Alexandria database. Energies are from PBE-GGA.

Values from the calculation:
Final energy (eV/atom): -4.219
Symmetry: No. 12
Raw formation energy (eV/atom): -0.76
Energy above the most stable polymorph in this dataset (eV/atom): 0.046
Total magnetization (μB/atom): 0.053

a = 4.912 Å, b = 4.912 Å, c = 6.840 Å
α = 78.35°, β = 78.35°, γ = 44.01°
Sites, in units of the cell vectors:
Br (0.987, 0.987, 0.052)
Br (0.513, 0.513, 0.448)
Ba (0.750, 0.750, 0.750)
Zr (0.250, 0.250, 0.250)

---

Here is crystalline ScMn2Fe at its relaxed geometry from the Alexandria database. Energies are from PBE-GGA.

Values from the calculation:
Final energy (eV/atom): -8.062
Symmetry: No. 225
Formation energy from the elements (meV per atom): 221
Energy above the most stable polymorph in this dataset (eV/atom): 0.125
Total magnetization (μB/atom): 1.814

a = 4.319 Å, b = 4.319 Å, c = 4.319 Å
α = 60.00°, β = 60.00°, γ = 60.00°
Sites, in units of the cell vectors:
Sc (0.000, 0.000, 0.000)
Mn (0.250, 0.250, 0.250)
Mn (0.750, 0.750, 0.750)
Fe (0.500, 0.500, 0.500)